TbPaNiPd: relaxed, PBE.

a = 4.8910 Å, b = 4.8910 Å, c = 4.8910 Å
α = 60.00°, β = 60.00°, γ = 60.00°
Last column: magnetic moment on the atom in μB.
Positions (direct):
Pd1 0.5000 0.5000 0.5000  0.00
Pa1 0.2500 0.2500 0.2500  0.32
Tb1 0.7500 0.7500 0.7500  0.05
Ni1 0.0000 0.0000 0.0000  -0.02

Symmetry: F-43m, No. 216
Calculated formation energy: -0.34 eV per atom


SiTc2Ni: relaxed, PBE.

a = 2.8466 Å, b = 2.8466 Å, c = 6.3938 Å
α = 90.00°, β = 90.00°, γ = 90.00°
Positions (direct):
Si1 0.5000 0.5000 0.7300
Ni1 0.0000 0.0000 0.5386
Tc1 0.0000 0.0000 0.9809
Tc2 0.5000 0.5000 0.2505

Symmetry: P4mm, No. 99
Raw formation energy: -216 meV/atom


Pu2Ga4SnPt3: relaxed, PBE.

a = 4.2182 Å, b = 4.2182 Å, c = 11.1985 Å
α = 90.00°, β = 90.00°, γ = 90.00°
Last column: magnetic moment on the atom in μB.
Positions (direct):
Pt1 0.5000 0.0000 0.8697  -0.01
Pt2 0.0000 0.0000 0.5000  -0.01
Pt3 0.0000 0.5000 0.1303  -0.01
Ga1 0.0000 0.0000 0.0000  0.01
Ga2 0.5000 0.5000 0.0000  0.01
Ga3 0.0000 0.5000 0.3499  0.00
Ga4 0.5000 0.0000 0.6501  0.00
Pu1 0.5000 0.0000 0.2385  5.30
Pu2 0.0000 0.5000 0.7615  5.30
Sn1 0.5000 0.5000 0.5000  -0.03

Symmetry: P-4m2, No. 115
Calculated formation energy: -0.62 eV per atom


DyTmHgPb: relaxed, PBE.

a = 3.9481 Å, b = 5.1969 Å, c = 5.1830 Å
α = 90.00°, β = 90.00°, γ = 90.00°
Positions (direct):
Pb1 0.5000 0.0000 0.5000
Hg1 0.5000 0.5000 0.0000
Tm1 0.0000 0.5000 0.5000
Dy1 0.0000 0.0000 0.0000

Relative energy among the computed polymorphs: 0 meV/atom
Symmetry: Pmmm, No. 47
Calculated formation energy: -0.44 eV per atom


TaVS: relaxed, PBE.

a = 3.2183 Å, b = 4.9322 Å, c = 6.5079 Å
α = 112.28°, β = 90.00°, γ = 109.04°
Positions (direct):
S1 0.8469 0.6938 0.3118
S2 0.1531 0.3062 0.6882
V1 0.6313 0.2625 0.9330
V2 0.3687 0.7375 0.0670
Ta1 0.8746 0.7492 0.7115
Ta2 0.1254 0.2508 0.2885

Relative energy among the computed polymorphs: 67 meV/atom
Symmetry: C2/m, No. 12
Raw formation energy: -528 meV/atom


HgBiI: relaxed, PBE.

a = 4.3745 Å, b = 7.7927 Å, c = 8.2294 Å
α = 63.00°, β = 90.04°, γ = 73.75°
Positions (direct):
Hg1 0.5816 0.3782 0.4299
Hg2 0.8639 0.8134 0.6105
I1 0.3220 0.8967 0.3309
I2 0.1235 0.2949 0.7094
Bi1 0.8927 0.7564 0.9758
Bi2 0.5528 0.4352 0.0646

Relative energy among the computed polymorphs: 0 meV/atom
Symmetry: C2/m, No. 12
Raw formation energy: -168 meV/atom


One value per record, in order, for total moment: 0.4; 0.0; 11.1; 0.0; 0.0; 0.0 μB per cell.